A plane-wave DFT calculation with PBE+U was carried out for a relaxed structure of SrCrPO2.

extended XYZ file:
```
5
Lattice="4.100 0.000 0.000 0.000 4.100 0.000 0.000 0.000 4.651" Properties=species:S:1:pos:R:3 pbc="T T T"
Sr 0.000 0.000 0.000
Cr 2.050 2.050 2.325
P 2.050 2.050 0.000
O 0.000 2.050 2.325
O 2.050 0.000 2.325
```

Values from the calculation:
* calculated volume: 78 Å³ per cell
* N(E_F): 0.862 states/eV/atom
* E: -5.9122 eV/atom
* density: 4.30 g cm⁻³
* crystal system: tetragonal